Material: AcFeAg2O4
Method: DFT, PBE with a Hubbard U
State: relaxed

## Properties
- Symmetry: C2/c (15)
- Electronic total energy: -5.7874 eV per atom
- Crystal system: monoclinic

abc: 6.924 6.924 8.864
angles: 129.75 129.75 73.86
Each line ends with the local moment (μB).
Element x y z (fractional)
Ag: 0.500 0.000 0.500  0.03
O: 0.206 0.715 0.961  0.10
O: 0.215 0.706 0.461  0.10
O: 0.732 0.769 0.601  0.15
Ac: 0.000 0.500 0.000  0.01
Ag: 0.500 0.000 0.000  0.03
Ag: 0.000 0.000 0.500  0.03
Fe: 0.000 0.000 0.000  4.29
Fe: 0.500 0.500 0.500  4.29
O: 0.785 0.294 0.539  0.10
O: 0.731 0.768 0.899  0.15
O: 0.268 0.231 0.399  0.15
Ag: 0.500 0.500 0.000  0.03
O: 0.794 0.285 0.039  0.10
Ac: 0.000 0.500 0.500  0.01
O: 0.269 0.232 0.101  0.15